1.
First-principles (PBE) data for an optimized crystal structure of AcPrHoTe3, as listed in the Alexandria database.

It has space group P2_1/m (No. 11), with a = 8.788 Å, b = 4.640 Å, c = 10.641 Å, α = 90.00°, β = 110.71° and γ = 90.00°. The asymmetric unit holds Ac at (0.187, 0.250, 0.234), Pr at (0.357, 0.750, 0.878), Ho at (0.136, 0.250, 0.618), Te at (0.105, 0.250, 0.896), Te at (0.243, 0.750, 0.486) and Te at (0.456, 0.750, 0.208).

Its electronic total energy is -30.62 eV/f.u. As for the energy relative to the elements, uncorrected: -1.288 eV per atom.


2.
First-principles (PBE) data for an optimized crystal structure of TlPbSI, as listed in the Alexandria database.

It has space group P3m1 (No. 156), with a = 4.3288 Å, b = 4.3288 Å, c = 8.4611 Å, α = 90.00°, β = 90.00° and γ = 120.00°. The asymmetric unit holds Tl at (0.0000, 0.0000, 0.0000), Pb at (0.6667, 0.3333, 0.4165), S at (0.3333, 0.6667, 0.2451) and I at (0.3333, 0.6667, 0.7103).

Its electronic total energy is -13.77 eV/f.u. As for the energy relative to the elements, uncorrected: -0.504 eV per atom.


3.
First-principles (PBE) data for an optimized crystal structure of LiAlGe, as listed in the Alexandria database.

It has space group P1 (No. 1), with a = 2.836 Å, b = 4.927 Å, c = 7.365 Å, α = 91.18°, β = 100.80° and γ = 90.07°. The asymmetric unit holds Li at (0.000, 0.000, 0.000), Li at (0.161, 0.705, 0.330), Al at (0.490, 0.500, 0.981), Al at (0.824, 0.346, 0.645), Ge at (0.350, 0.854, 0.692) and Ge at (0.641, 0.212, 0.289).

Its electronic total energy is -10.59 eV/f.u. The calculation puts the formation energy at -30.5 kJ/mol of formula units.


4.
First-principles (PBE) data for an optimized crystal structure of HoTlCo4, as listed in the Alexandria database.

It has space group F-43m (No. 216), with a = 7.083 Å, b = 7.083 Å, c = 7.083 Å, α = 90.00°, β = 90.00° and γ = 90.00°. The asymmetric unit holds Ho at (0.000, 0.000, 0.000), Tl at (0.250, 0.250, 0.750) and Co at (0.125, 0.125, 0.375).

Its electronic total energy is -35.49 eV/f.u. The calculation puts the formation energy at -11.7 kJ/mol of formula units.